Record 1
Pa2AuI8 | GGA-PBE | relaxed

Output
E above lowest polymorph   0 meV per atom
Uncorrected formation energy   -718 meV/atom
V   632.5 Å³/cell

Cell and atoms, written as POSCAR:
```
Pa2AuI8
1.0
5.037 -6.896 0.000
5.037 6.896 0.000
-0.255 0.000 9.104
Pa Au I
2 1 8
Direct
0.117 0.117 0.295
0.883 0.883 0.705
0.000 0.000 0.000
0.113 0.695 0.734
0.185 0.185 0.622
0.305 0.887 0.266
0.392 0.392 0.211
0.608 0.608 0.789
0.695 0.113 0.734
0.815 0.815 0.378
0.887 0.305 0.266
```

***

Record 2
PaAuI6 | GGA-PBE | relaxed

Output
E above lowest polymorph   0 meV per atom
Uncorrected formation energy   -702 meV/atom
V   397.4 Å³/cell

Cell and atoms, written as POSCAR:
```
PaAuI6
1.0
7.482 0.000 0.000
-3.530 7.196 0.000
-0.463 -4.325 7.382
Pa Au I
1 1 6
Direct
0.000 0.000 0.000
0.500 0.000 0.000
0.041 0.420 0.218
0.236 0.159 0.784
0.393 0.168 0.289
0.607 0.832 0.711
0.764 0.841 0.216
0.959 0.580 0.782
```

***

Record 3
PaAu2I6 | GGA-PBE | relaxed

Output
Uncorrected formation energy   -564 meV/atom
V   858.3 Å³/cell

Cell and atoms, written as POSCAR:
```
PaAu2I6
1.0
8.250 0.000 0.000
0.000 11.621 0.000
-3.001 0.000 8.952
Pa Au I
2 4 12
Direct
0.000 0.000 0.000
0.000 0.500 0.500
0.109 0.241 0.199
0.109 0.259 0.699
0.891 0.741 0.301
0.891 0.759 0.801
0.164 0.743 0.548
0.164 0.757 0.048
0.259 0.060 0.838
0.259 0.440 0.338
0.279 0.045 0.302
0.279 0.455 0.802
0.721 0.545 0.198
0.721 0.955 0.698
0.741 0.560 0.662
0.741 0.940 0.162
0.836 0.243 0.952
0.836 0.257 0.452
```

***

Record 4
PaAu2I8 | GGA-PBE | relaxed

Output
Uncorrected formation energy   -480 meV/atom
V   525.9 Å³/cell

Cell and atoms, written as POSCAR:
```
PaAu2I8
1.0
6.364 -5.241 0.000
6.364 5.241 0.000
-0.899 0.000 7.884
Pa Au I
1 2 8
Direct
0.000 0.000 0.000
0.225 0.225 0.793
0.775 0.775 0.207
0.109 0.688 0.181
0.175 0.175 0.272
0.312 0.891 0.819
0.420 0.420 0.724
0.580 0.580 0.276
0.688 0.109 0.181
0.825 0.825 0.728
0.891 0.312 0.819
```

***

Record 5
Pa2AuI8 | GGA-PBE | relaxed

Output
E above lowest polymorph   22 meV per atom
Uncorrected formation energy   -695 meV/atom
V   692.0 Å³/cell

Cell and atoms, written as POSCAR:
```
Pa2AuI8
1.0
9.545 -6.282 0.000
9.545 6.282 0.000
-1.921 0.000 5.770
Pa Au I
2 1 8
Direct
0.160 0.160 0.159
0.840 0.840 0.841
0.000 0.000 0.000
0.086 0.627 0.858
0.135 0.135 0.633
0.319 0.319 0.317
0.373 0.914 0.142
0.627 0.086 0.858
0.681 0.681 0.683
0.865 0.865 0.367
0.914 0.373 0.142
```

***

Record 6
RbPaAuI6 | GGA-PBE | relaxed

Output
Uncorrected formation energy   -808 meV/atom
V   885.0 Å³/cell

Cell and atoms, written as POSCAR:
```
RbPaAuI6
1.0
7.811 0.000 0.000
-3.905 6.764 0.000
0.000 0.000 16.751
Rb Pa Au I
2 2 2 12
Direct
0.000 0.000 0.000
0.000 0.000 0.500
0.333 0.667 0.250
0.667 0.333 0.750
0.333 0.667 0.750
0.667 0.333 0.250
0.002 0.363 0.144
0.002 0.639 0.356
0.361 0.363 0.356
0.361 0.998 0.144
0.363 0.002 0.644
0.363 0.361 0.856
0.637 0.639 0.144
0.637 0.998 0.356
0.639 0.002 0.856
0.639 0.637 0.644
0.998 0.361 0.644
0.998 0.637 0.856
```

***

Record 7
PaTlAuI6 | GGA-PBE | relaxed

Output
Uncorrected formation energy   -617 meV/atom
V   816.0 Å³/cell

Cell and atoms, written as POSCAR:
```
PaTlAuI6
1.0
7.765 0.000 0.000
-3.883 6.725 0.000
0.000 0.000 15.625
Pa Tl Au I
2 2 2 12
Direct
0.333 0.667 0.250
0.667 0.333 0.750
0.000 0.000 0.000
0.000 0.000 0.500
0.333 0.667 0.750
0.667 0.333 0.250
0.001 0.360 0.137
0.001 0.641 0.363
0.359 0.360 0.363
0.359 0.999 0.137
0.360 0.001 0.637
0.360 0.359 0.863
0.640 0.641 0.137
0.640 0.999 0.363
0.641 0.001 0.863
0.641 0.640 0.637
0.999 0.359 0.637
0.999 0.640 0.863
```

***

Record 8
PbAuI | GGA-PBE | relaxed

Output
E above lowest polymorph   98 meV per atom
Uncorrected formation energy   -147 meV/atom
V   196.4 Å³/cell

Cell and atoms, written as POSCAR:
```
PbAuI
1.0
6.018 0.000 0.000
0.000 4.435 0.000
-0.332 0.000 7.360
Pb Au I
2 2 2
Direct
0.250 0.250 0.122
0.750 0.750 0.878
0.247 0.750 0.866
0.753 0.250 0.134
0.257 0.250 0.611
0.743 0.750 0.389
```